Computed, not measured: a geometry-optimized Ac4Ga2Ni structure at the PBE level of DFT.

## Properties
polymorph energy (0 for the lowest one) = 0 meV/atom
formation energy = -0.248 eV per atom

a = 4.0357 Å, b = 6.8252 Å, c = 9.1843 Å
α = 111.27°, β = 102.69°, γ = 90.00°
Positions (direct):
Ac1 0.0874 0.7469 0.1748
Ac2 0.6337 0.2789 0.2674
Ga1 0.7402 0.8481 0.4803
Ac3 0.3663 0.7211 0.7326
Ni1 0.0000 0.0000 0.0000
Ac4 0.9126 0.2531 0.8252
Ga2 0.2598 0.1519 0.5197

Computed, not measured: a geometry-optimized AcGa3Ni5 structure at the PBE level of DFT.

## Properties
formation energy = -0.396 eV per atom

a = 3.9384 Å, b = 6.4536 Å, c = 11.8114 Å
α = 90.00°, β = 90.00°, γ = 107.77°
Positions (direct):
Ni1 0.5464 0.0927 0.6441
Ac1 0.8167 0.6333 0.7500
Ga1 0.3778 0.7557 0.9612
Ga2 0.3778 0.7557 0.5388
Ga3 0.6222 0.2443 0.4612
Ni2 0.5464 0.0927 0.8559
Ga4 0.9075 0.8151 0.2500
Ni3 0.1887 0.3773 0.5657
Ni4 0.1887 0.3773 0.9343
Ac2 0.1833 0.3667 0.2500
Ga5 0.0925 0.1850 0.7500
Ni5 0.4536 0.9073 0.3559
Ga6 0.6222 0.2443 0.0388
Ni6 0.0000 0.0000 0.0000
Ni7 0.0000 0.0000 0.5000
Ni8 0.4536 0.9073 0.1441
Ni9 0.8113 0.6227 0.4343
Ni10 0.8113 0.6227 0.0657

Computed, not measured: a geometry-optimized Ac3Ga3Ni structure at the PBE level of DFT.

## Properties
formation energy = -0.466 eV per atom

a = 4.4767 Å, b = 6.3252 Å, c = 14.6223 Å
α = 83.13°, β = 81.19°, γ = 69.28°
Positions (direct):
Ac1 0.5258 0.3358 0.6126
Ga1 0.1803 0.1783 0.4612
Ni1 0.7681 0.0750 0.3889
Ga2 0.0974 0.8802 0.9250
Ac2 0.7432 0.7514 0.7622
Ac3 0.3886 0.3039 0.9189
Ac4 0.6114 0.6961 0.0811
Ga3 0.0421 0.1520 0.7637
Ac5 0.2568 0.2486 0.2378
Ga4 0.9579 0.8480 0.2363
Ni2 0.2319 0.9250 0.6111
Ga5 0.9026 0.1198 0.0750
Ac6 0.4742 0.6642 0.3874
Ga6 0.8197 0.8217 0.5388

Computed, not measured: a geometry-optimized Ac2Ga3Ni5 structure at the PBE level of DFT.

## Properties
formation energy = -0.422 eV per atom

a = 5.9380 Å, b = 8.3768 Å, c = 8.3768 Å
α = 74.09°, β = 69.24°, γ = 69.24°
Positions (direct):
Ga1 0.3634 0.5364 0.7367
Ni1 0.0291 0.2209 0.2209
Ac1 0.1274 0.6108 0.1345
Ga2 0.1366 0.2633 0.4636
Ni2 0.2500 0.5000 0.5000
Ni3 0.1152 0.0348 0.7348
Ni4 0.6152 0.7348 0.0348
Ac2 0.3726 0.8655 0.3892
Ga3 0.7500 0.0000 0.0000
Ni5 0.4709 0.7791 0.7791
Ga4 0.2500 0.0000 0.0000
Ni6 0.9709 0.7791 0.7791
Ac3 0.8726 0.3892 0.8655
Ni7 0.3848 0.2652 0.9652
Ac4 0.6274 0.1345 0.6108
Ni8 0.7500 0.5000 0.5000
Ni9 0.8848 0.9652 0.2652
Ga5 0.8634 0.7367 0.5364
Ga6 0.6366 0.4636 0.2633
Ni10 0.5291 0.2209 0.2209

Computed, not measured: a geometry-optimized AcGa2Ni4 structure at the PBE level of DFT.

## Properties
formation energy = -0.302 eV per atom

a = 3.8377 Å, b = 7.6035 Å, c = 7.6035 Å
α = 90.00°, β = 90.00°, γ = 90.00°
Positions (direct):
Ni1 0.0000 0.0831 0.3552
Ni2 0.5000 0.4169 0.8552
Ni3 0.0000 0.3552 0.0831
Ni4 0.5000 0.8552 0.4169
Ni5 0.0000 0.9169 0.6448
Ga1 0.0000 0.7750 0.2250
Ni6 0.5000 0.1448 0.5831
Ga2 0.5000 0.2750 0.2750
Ga3 0.0000 0.2250 0.7750
Ni7 0.0000 0.6448 0.9169
Ga4 0.5000 0.7250 0.7250
Ac1 0.5000 0.0000 0.0000
Ac2 0.0000 0.5000 0.5000
Ni8 0.5000 0.5831 0.1448

Computed, not measured: a geometry-optimized AcGa9Ni2 structure at the PBE level of DFT.

## Properties
polymorph energy (0 for the lowest one) = 0 meV/atom
formation energy = -0.310 eV per atom

a = 3.9312 Å, b = 8.0370 Å, c = 8.0370 Å
α = 120.00°, β = 90.00°, γ = 90.00°
Positions (direct):
Ga1 0.5000 0.5841 0.7921
Ga2 0.5000 0.2079 0.7921
Ga3 0.0000 0.5000 0.5000
Ga4 0.5000 0.7921 0.2079
Ga5 0.5000 0.4159 0.2079
Ga6 0.5000 0.2079 0.4159
Ni1 0.0000 0.3333 0.6667
Ac1 0.0000 0.0000 0.0000
Ga7 0.0000 0.0000 0.5000
Ga8 0.0000 0.5000 0.0000
Ni2 0.0000 0.6667 0.3333
Ga9 0.5000 0.7921 0.5841

Computed, not measured: a geometry-optimized AcGa2Ni structure at the PBE level of DFT.

## Properties
polymorph energy (0 for the lowest one) = 20 meV/atom
formation energy = -0.539 eV per atom

a = 4.1065 Å, b = 6.1197 Å, c = 7.0911 Å
α = 90.00°, β = 90.00°, γ = 109.60°
Positions (direct):
Ga1 0.6705 0.3410 0.0605
Ga2 0.3295 0.6590 0.9395
Ga3 0.3295 0.6590 0.5605
Ni1 0.7769 0.5538 0.7500
Ni2 0.2231 0.4462 0.2500
Ac1 0.9452 0.8905 0.2500
Ga4 0.6705 0.3410 0.4395
Ac2 0.0548 0.1095 0.7500

Computed, not measured: a geometry-optimized Ac3GaNi structure at the PBE level of DFT.

## Properties
polymorph energy (0 for the lowest one) = 72 meV/atom
formation energy = -0.197 eV per atom

a = 5.5315 Å, b = 7.7441 Å, c = 7.6444 Å
α = 94.15°, β = 90.01°, γ = 90.01°
Positions (direct):
Ni1 0.0433 0.4793 0.2023
Ni2 0.5429 0.6655 0.8262
Ac1 0.0432 0.1700 0.3693
Ac2 0.5431 0.8679 0.1525
Ac3 0.5431 0.9898 0.6604
Ac4 0.5431 0.3469 0.0194
Ga1 0.0431 0.7483 0.3909
Ga2 0.0430 0.1226 0.9273
Ac5 0.0430 0.6409 0.8515
Ac6 0.5432 0.5120 0.4771

Computed, not measured: a geometry-optimized Ac2GaNi structure at the PBE level of DFT.

## Properties
formation energy = -0.268 eV per atom

a = 4.6479 Å, b = 9.3693 Å, c = 6.2163 Å
α = 112.15°, β = 111.95°, γ = 90.00°
Positions (direct):
Ga1 0.5000 0.7500 0.0000
Ac1 0.1676 0.0838 0.3351
Ni1 0.0000 0.7500 0.0000
Ga2 0.5000 0.2500 0.0000
Ac2 0.8324 0.9162 0.6649
Ac3 0.1675 0.5838 0.3351
Ac4 0.8325 0.4162 0.6649
Ni2 0.0000 0.2500 0.0000

Computed, not measured: a geometry-optimized AcGa2Ni3 structure at the PBE level of DFT.

## Properties
polymorph energy (0 for the lowest one) = 7 meV/atom
formation energy = -0.450 eV per atom

a = 5.2306 Å, b = 6.3476 Å, c = 6.3476 Å
α = 102.44°, β = 90.00°, γ = 90.00°
Positions (direct):
Ac1 0.2500 0.3097 0.3097
Ga1 0.0000 0.7905 0.2095
Ni1 0.7500 0.0709 0.0709
Ni2 0.7500 0.0835 0.4608
Ni3 0.2500 0.9165 0.5392
Ga2 0.0000 0.2095 0.7905
Ga3 0.5000 0.2095 0.7905
Ni4 0.2500 0.5392 0.9165
Ac2 0.7500 0.6903 0.6903
Ni5 0.2500 0.9291 0.9291
Ga4 0.5000 0.7905 0.2095
Ni6 0.7500 0.4608 0.0835

Computed, not measured: a geometry-optimized AcGaNi structure at the PBE level of DFT.

## Properties
polymorph energy (0 for the lowest one) = 264 meV/atom
formation energy = -0.266 eV per atom

a = 4.7138 Å, b = 4.7138 Å, c = 4.7138 Å
α = 60.00°, β = 60.00°, γ = 60.00°
Positions (direct):
Ga1 0.0000 0.0000 0.0000
Ac1 0.5000 0.5000 0.5000
Ni1 0.2500 0.2500 0.2500

Computed, not measured: a geometry-optimized Ac2GaNi structure at the PBE level of DFT.

## Properties
formation energy = -0.356 eV per atom

a = 4.3516 Å, b = 4.3426 Å, c = 8.1403 Å
α = 74.53°, β = 74.50°, γ = 59.93°
Positions (direct):
Ga1 0.4695 0.2326 0.8283
Ac1 0.7174 0.4792 0.0859
Ni1 0.1358 0.9002 0.8281
Ac2 0.8875 0.6499 0.5751

Computed, not measured: a geometry-optimized Ac2GaNi2 structure at the PBE level of DFT.

## Properties
polymorph energy (0 for the lowest one) = 25 meV/atom
formation energy = -0.345 eV per atom

a = 7.6647 Å, b = 7.6647 Å, c = 8.0657 Å
α = 90.00°, β = 90.00°, γ = 90.00°
Positions (direct):
Ni1 0.3850 0.8850 0.2500
Ni2 0.6150 0.1150 0.2500
Ac1 0.6831 0.8168 0.5000
Ac2 0.1831 0.6832 0.0000
Ac3 0.8168 0.3169 0.5000
Ac4 0.6832 0.8169 0.0000
Ni3 0.6150 0.1150 0.7500
Ac5 0.8169 0.3168 0.0000
Ac6 0.3168 0.1831 0.0000
Ni4 0.8850 0.6150 0.7500
Ga1 0.0000 0.0000 0.2501
Ac7 0.1832 0.6831 0.5000
Ga2 0.0000 0.0000 0.7499
Ga3 0.5000 0.5000 0.7501
Ac8 0.3169 0.1832 0.5000
Ni5 0.1150 0.3850 0.7500
Ni6 0.1150 0.3850 0.2500
Ga4 0.5000 0.5000 0.2499
Ni7 0.3850 0.8850 0.7500
Ni8 0.8850 0.6150 0.2500

Computed, not measured: a geometry-optimized Ac2GaNi2 structure at the PBE level of DFT.

## Properties
polymorph energy (0 for the lowest one) = 0 meV/atom
formation energy = -0.370 eV per atom

a = 5.8075 Å, b = 5.7752 Å, c = 8.1074 Å
α = 102.26°, β = 90.00°, γ = 120.19°
Positions (direct):
Ga1 0.8697 0.0000 0.2500
Ni1 0.2686 0.2675 0.5018
Ni2 0.0011 0.7325 0.9982
Ac1 0.5042 0.2971 0.1482
Ni3 0.9989 0.2675 0.0018
Ac2 0.4958 0.7029 0.8518
Ga2 0.1303 0.0000 0.7500
Ac3 0.7929 0.2972 0.6482
Ac4 0.2071 0.7028 0.3518
Ni4 0.7314 0.7325 0.4982

Computed, not measured: a geometry-optimized Ac3Ga4Ni7 structure at the PBE level of DFT.

## Properties
formation energy = -0.399 eV per atom

a = 4.1577 Å, b = 8.5160 Å, c = 7.9476 Å
α = 75.90°, β = 74.84°, γ = 75.87°
Positions (direct):
Ni1 0.5003 0.7794 0.2201
Ga1 0.1055 0.1188 0.6702
Ni2 0.1106 0.6741 0.1048
Ac1 0.0000 0.5000 0.5000
Ni3 0.8894 0.3259 0.8952
Ga2 0.3185 0.5003 0.8626
Ga3 0.6815 0.4997 0.1374
Ni4 0.0000 0.0000 0.0000
Ni5 0.4997 0.2206 0.7799
Ni6 0.3039 0.8904 0.5018
Ga4 0.8945 0.8812 0.3298
Ac2 0.6824 0.8232 0.8120
Ac3 0.3176 0.1768 0.1880
Ni7 0.6961 0.1096 0.4982

Computed, not measured: a geometry-optimized Ac2GaNi structure at the PBE level of DFT.

## Properties
formation energy = -0.276 eV per atom

a = 3.7692 Å, b = 3.7692 Å, c = 7.8029 Å
α = 90.00°, β = 90.00°, γ = 90.00°
Positions (direct):
Ac1 0.0000 0.0000 0.2302
Ni1 0.5000 0.5000 0.0000
Ac2 0.0000 0.0000 0.7698
Ga1 0.5000 0.5000 0.5000

Computed, not measured: a geometry-optimized Ac3GaNi structure at the PBE level of DFT.

## Properties
polymorph energy (0 for the lowest one) = 0 meV/atom
formation energy = -0.269 eV per atom

a = 4.7911 Å, b = 8.2102 Å, c = 8.4531 Å
α = 94.31°, β = 89.99°, γ = 106.96°
Positions (direct):
Ni1 0.7707 0.5077 0.6437
Ni2 0.1853 0.3383 0.7781
Ac1 0.5913 0.1501 0.6436
Ac2 0.7398 0.4463 0.0194
Ac3 0.0283 0.0233 0.0022
Ac4 0.3650 0.6960 0.7779
Ac5 0.2163 0.3996 0.4021
Ga1 0.3895 0.7462 0.1641
Ga2 0.5664 0.0996 0.2575
Ac6 0.9277 0.8226 0.4193

Computed, not measured: a geometry-optimized AcGaNi structure at the PBE level of DFT.

## Properties
polymorph energy (0 for the lowest one) = 356 meV/atom
formation energy = -0.174 eV per atom

a = 3.4786 Å, b = 3.4786 Å, c = 5.9817 Å
α = 106.90°, β = 106.90°, γ = 90.00°
Positions (direct):
Ga1 0.2894 0.2894 0.5789
Ac1 0.0010 0.0010 0.0019
Ni1 0.7096 0.7096 0.4192

Computed, not measured: a geometry-optimized AcGa12Ni6 structure at the PBE level of DFT.

## Properties
formation energy = -0.360 eV per atom

a = 6.9724 Å, b = 6.9724 Å, c = 6.9724 Å
α = 104.06°, β = 104.06°, γ = 104.06°
Positions (direct):
Ni1 0.7207 0.2930 0.7207
Ac1 0.0000 0.0000 0.0000
Ni2 0.2930 0.7207 0.7207
Ga1 0.1155 0.8845 0.5000
Ga2 0.5843 0.8441 0.5843
Ga3 0.8845 0.5000 0.1155
Ga4 0.8441 0.5843 0.5843
Ga5 0.4157 0.4157 0.1559
Ni3 0.7070 0.2793 0.2793
Ga6 0.5000 0.1155 0.8845
Ni4 0.2793 0.2793 0.7070
Ga7 0.5843 0.5843 0.8441
Ga8 0.5000 0.8845 0.1155
Ga9 0.4157 0.1559 0.4157
Ni5 0.2793 0.7070 0.2793
Ga10 0.8845 0.1155 0.5000
Ga11 0.1559 0.4157 0.4157
Ni6 0.7207 0.7207 0.2930
Ga12 0.1155 0.5000 0.8845

Computed, not measured: a geometry-optimized Ac3Ga2Ni structure at the PBE level of DFT.

## Properties
formation energy = -0.422 eV per atom

a = 4.3631 Å, b = 12.8654 Å, c = 12.7000 Å
α = 90.00°, β = 90.00°, γ = 90.00°
Positions (direct):
Ga1 0.7500 0.9907 0.6949
Ga2 0.7500 0.3181 0.5258
Ni1 0.2500 0.3751 0.6305
Ni2 0.7500 0.8751 0.8695
Ac1 0.2500 0.3689 0.0519
Ac2 0.2500 0.7016 0.2235
Ac3 0.2500 0.7984 0.7235
Ni3 0.7500 0.6249 0.3695
Ga3 0.2500 0.8181 0.9742
Ga4 0.2500 0.6819 0.4742
Ga5 0.7500 0.1819 0.0258
Ac4 0.7500 0.2984 0.7765
Ga6 0.7500 0.5093 0.1949
Ac5 0.2500 0.1311 0.5519
Ac6 0.7500 0.8689 0.4481
Ac7 0.2500 0.4480 0.3830
Ga7 0.2500 0.4907 0.8051
Ac8 0.2500 0.0520 0.8830
Ac9 0.7500 0.2016 0.2765
Ni4 0.2500 0.1249 0.1305
Ac10 0.7500 0.6311 0.9481
Ga8 0.2500 0.0093 0.3051
Ac11 0.7500 0.5520 0.6170
Ac12 0.7500 0.9480 0.1170

no.,total energy (eV per atom)
1,-4.2860
2,-5.0738
3,-4.3494
4,-5.0429
5,-5.0576
6,-3.8864
7,-4.5246
8,-4.4235
9,-4.5248
10,-5.0340
11,-4.5711
12,-4.6123
13,-4.9065
14,-4.9312
15,-5.0348
16,-4.5327
17,-4.4959
18,-4.4791
19,-4.3131
20,-4.4492